Record 1
La5NdSe8 | GGA-PBE | optimized geometry

## Properties
Energy relative to the elements, uncorrected, eV per atom: -1.996
Calculated total energy, eV per atom: -6.087

a = 7.855 Å, b = 7.855 Å, c = 7.855 Å
α = 109.27°, β = 109.27°, γ = 109.87°
Sites, in units of the cell vectors:
La1 0.000 0.000 0.000
La2 0.244 0.625 0.119
La3 0.375 0.494 0.619
La4 0.506 0.125 0.881
La5 0.875 0.756 0.381
Nd1 0.750 0.250 0.500
Se1 0.123 0.722 0.748
Se2 0.124 0.227 0.752
Se3 0.278 0.026 0.402
Se4 0.475 0.373 0.248
Se5 0.624 0.877 0.598
Se6 0.627 0.876 0.103
Se7 0.773 0.525 0.897
Se8 0.974 0.376 0.252

Record 2
ScZnTc | GGA-PBE | optimized geometry

## Properties
Energy relative to the elements, eV/atom: -0.149
Calculated total energy, eV per atom: -6.139

a = 5.389 Å, b = 5.389 Å, c = 6.442 Å
α = 125.49°, β = 125.49°, γ = 46.18°
Sites, in units of the cell vectors:
Sc1 0.000 0.000 0.000
Sc2 0.000 0.000 0.500
Zn1 0.338 0.338 0.599
Zn2 0.662 0.662 0.401
Tc1 0.317 0.317 0.016
Tc2 0.683 0.683 0.984

Record 3
SrAl4Pd2 | GGA-PBE | optimized geometry

## Properties
Energy relative to the elements, eV/atom: -0.446
Calculated total energy, eV per atom: -4.309

a = 5.300 Å, b = 5.374 Å, c = 5.876 Å
α = 103.54°, β = 103.26°, γ = 119.19°
Sites, in units of the cell vectors:
Sr1 0.000 0.000 0.000
Al1 0.293 0.294 0.587
Al2 0.313 0.673 0.000
Al3 0.687 0.327 0.000
Al4 0.707 0.706 0.413
Pd1 0.294 0.795 0.589
Pd2 0.706 0.205 0.411

Record 4
Li6Ac | GGA-PBE | optimized geometry

## Properties
Energy relative to the elements, eV/atom: 0.274
Calculated total energy, eV per atom: -1.954

a = 6.166 Å, b = 6.166 Å, c = 6.166 Å
α = 109.47°, β = 109.47°, γ = 109.47°
Sites, in units of the cell vectors:
Li1 0.250 0.500 0.750
Li2 0.250 0.750 0.500
Li3 0.500 0.250 0.750
Li4 0.500 0.750 0.250
Li5 0.750 0.250 0.500
Li6 0.750 0.500 0.250
Ac1 0.000 0.000 0.000

Record 5
NdHo3In4 | GGA-PBE | optimized geometry

## Properties
Energy relative to the elements, eV/atom: -0.460
Calculated total energy, eV per atom: -4.142

a = 10.797 Å, b = 7.248 Å, c = 5.511 Å
α = 90.00°, β = 90.00°, γ = 90.00°
Sites, in units of the cell vectors:
Nd1 0.000 0.000 0.000
Nd2 0.500 0.000 0.000
Ho1 0.000 0.500 0.000
Ho2 0.250 0.000 0.432
Ho3 0.250 0.500 0.421
Ho4 0.500 0.500 0.000
Ho5 0.750 0.000 0.568
Ho6 0.750 0.500 0.579
In1 0.000 0.258 0.500
In2 0.000 0.742 0.500
In3 0.250 0.258 0.916
In4 0.250 0.742 0.916
In5 0.500 0.258 0.500
In6 0.500 0.742 0.500
In7 0.750 0.258 0.084
In8 0.750 0.742 0.084

Record 6
TbSiRu2C | GGA-PBE | optimized geometry

## Properties
Energy relative to the elements, uncorrected, eV per atom: -0.620
Calculated total energy, eV per atom: -8.186

a = 5.883 Å, b = 5.883 Å, c = 7.160 Å
α = 90.00°, β = 90.00°, γ = 141.98°
Sites, in units of the cell vectors:
Tb1 0.048 0.952 0.750
Tb2 0.952 0.048 0.250
Si1 0.230 0.770 0.250
Si2 0.770 0.230 0.750
Ru1 0.336 0.664 0.557
Ru2 0.336 0.664 0.943
Ru3 0.664 0.336 0.057
Ru4 0.664 0.336 0.443
C1 0.500 0.500 0.000
C2 0.500 0.500 0.500

Record 7
Li2YInF | GGA-PBE | optimized geometry

## Properties
Energy relative to the elements, uncorrected, eV per atom: -1.238
Calculated total energy, eV per atom: -4.218

a = 4.440 Å, b = 4.440 Å, c = 4.759 Å
α = 90.00°, β = 90.00°, γ = 90.00°
Sites, in units of the cell vectors:
Li1 0.000 0.500 0.000
Li2 0.500 0.000 0.000
Y1 0.000 0.000 0.500
In1 0.500 0.500 0.500
F1 0.000 0.000 0.000

Record 8
CsTePb3 | GGA-PBE | optimized geometry

## Properties
Energy relative to the elements, uncorrected, eV per atom: 1.241
Calculated total energy, eV per atom: -1.783

a = 6.330 Å, b = 6.330 Å, c = 6.330 Å
α = 90.00°, β = 90.00°, γ = 90.00°
Sites, in units of the cell vectors:
Cs1 0.000 0.000 0.000
Te1 0.500 0.500 0.500
Pb1 0.000 0.000 0.500
Pb2 0.000 0.500 0.000
Pb3 0.500 0.000 0.000

Record 9
CaBrO2 | GGA-PBE | optimized geometry

## Properties
Energy relative to the elements, uncorrected, eV per atom: -1.240
Calculated total energy, eV per atom: -4.638

a = 5.203 Å, b = 5.203 Å, c = 6.585 Å
α = 107.75°, β = 107.75°, γ = 88.08°
Sites, in units of the cell vectors:
Ca1 0.089 0.911 0.750
Ca2 0.911 0.089 0.250
Br1 0.497 0.503 0.250
Br2 0.503 0.497 0.750
O1 0.201 0.226 0.609
O2 0.226 0.201 0.109
O3 0.774 0.799 0.891
O4 0.799 0.774 0.391

Record 10
BaY2Lu | GGA-PBE | optimized geometry

## Properties
Energy relative to the elements, eV/atom: 0.230
Calculated total energy, eV per atom: -4.613

a = 12.943 Å, b = 12.943 Å, c = 12.943 Å
α = 15.97°, β = 15.97°, γ = 15.97°
Sites, in units of the cell vectors:
Ba1 0.000 0.000 0.000
Y1 0.094 0.094 0.094
Y2 0.906 0.906 0.906
Lu1 0.500 0.500 0.500

Record 11
TlNi3 | GGA-PBE | optimized geometry

## Properties
Energy relative to the elements, eV/atom: 0.527
Calculated total energy, eV per atom: -4.400

a = 8.149 Å, b = 8.149 Å, c = 8.149 Å
α = 20.60°, β = 20.60°, γ = 20.60°
Sites, in units of the cell vectors:
Tl1 0.000 0.000 0.000
Ni1 0.241 0.241 0.241
Ni2 0.500 0.500 0.500
Ni3 0.759 0.759 0.759

Record 12
La2FeIr | GGA-PBE | optimized geometry

## Properties
Energy relative to the elements, eV/atom: 0.026
Calculated total energy, eV per atom: -6.768

a = 4.099 Å, b = 4.099 Å, c = 7.757 Å
α = 104.70°, β = 104.70°, γ = 58.90°
Sites, in units of the cell vectors:
La1 0.242 0.242 0.227
La2 0.758 0.758 0.773
Fe1 0.000 0.000 0.500
Ir1 0.500 0.500 0.000

Record 13
Ti3CdOs | GGA-PBE | optimized geometry

## Properties
Energy relative to the elements, eV/atom: 0.392
Calculated total energy, eV per atom: -6.774

a = 4.773 Å, b = 4.773 Å, c = 4.773 Å
α = 90.00°, β = 90.00°, γ = 90.00°
Sites, in units of the cell vectors:
Ti1 0.000 0.000 0.500
Ti2 0.000 0.500 0.000
Ti3 0.500 0.000 0.000
Cd1 0.500 0.500 0.500
Os1 0.000 0.000 0.000

Record 14
NaSc2Ge2 | GGA-PBE | optimized geometry

## Properties
Energy relative to the elements, eV/atom: -0.468
Calculated total energy, eV per atom: -5.112

a = 8.212 Å, b = 8.212 Å, c = 3.109 Å
α = 90.00°, β = 90.00°, γ = 90.00°
Sites, in units of the cell vectors:
Na1 0.000 0.000 0.000
Na2 0.500 0.500 0.000
Sc1 0.132 0.368 0.000
Sc2 0.368 0.868 0.000
Sc3 0.632 0.132 0.000
Sc4 0.868 0.632 0.000
Ge1 0.167 0.667 0.500
Ge2 0.333 0.167 0.500
Ge3 0.667 0.833 0.500
Ge4 0.833 0.333 0.500

Record 15
Zr2ZnI | GGA-PBE | optimized geometry

## Properties
Energy relative to the elements, uncorrected, eV per atom: 0.090
Calculated total energy, eV per atom: -4.890

a = 4.940 Å, b = 4.940 Å, c = 4.940 Å
α = 60.00°, β = 60.00°, γ = 60.00°
Sites, in units of the cell vectors:
Zr1 0.250 0.250 0.250
Zr2 0.750 0.750 0.750
Zn1 0.000 0.000 0.000
I1 0.500 0.500 0.500

Record 16
KZr3Rh | GGA-PBE | optimized geometry

## Properties
Energy relative to the elements, eV/atom: 1.986
Calculated total energy, eV per atom: -4.833

a = 4.778 Å, b = 4.778 Å, c = 4.778 Å
α = 90.00°, β = 90.00°, γ = 90.00°
Sites, in units of the cell vectors:
K1 0.000 0.000 0.000
Zr1 0.000 0.000 0.500
Zr2 0.000 0.500 0.000
Zr3 0.500 0.000 0.000
Rh1 0.500 0.500 0.500

Record 17
Pu3Ge5 | GGA-PBE | optimized geometry

## Properties
Energy relative to the elements, eV/atom: -0.386
Calculated total energy, eV per atom: -8.646

a = 11.157 Å, b = 7.585 Å, c = 9.152 Å
α = 83.05°, β = 42.44°, γ = 54.51°
Sites, in units of the cell vectors:
Pu1 0.000 0.000 0.000
Pu2 0.250 0.250 0.250
Pu3 0.319 0.669 0.340
Pu4 0.578 0.910 0.581
Pu5 0.669 0.319 0.672
Pu6 0.910 0.578 0.931
Ge1 0.060 0.761 0.268
Ge2 0.208 0.479 0.936
Ge3 0.314 0.873 0.042
Ge4 0.340 0.982 0.489
Ge5 0.479 0.208 0.377
Ge6 0.541 0.541 0.459
Ge7 0.761 0.060 0.910
Ge8 0.791 0.791 0.709
Ge9 0.873 0.314 0.771
Ge10 0.982 0.340 0.190

Record 18
NiHSe2 | GGA-PBE | optimized geometry

## Properties
Calculated total energy, eV per atom: -3.663

a = 3.425 Å, b = 3.425 Å, c = 4.799 Å
α = 90.00°, β = 90.00°, γ = 90.00°
Sites, in units of the cell vectors:
Ni1 0.000 0.000 0.000
H1 0.500 0.500 0.500
Se1 0.000 0.000 0.500
Se2 0.500 0.500 0.000

Record 19
AlTcI2O | GGA-PBE | optimized geometry

## Properties
Energy relative to the elements, uncorrected, eV per atom: -0.126
Calculated total energy, eV per atom: -4.560

a = 5.755 Å, b = 5.755 Å, c = 3.478 Å
α = 90.00°, β = 90.00°, γ = 90.00°
Sites, in units of the cell vectors:
Al1 0.000 0.000 0.000
Tc1 0.500 0.500 0.500
I1 0.000 0.500 0.000
I2 0.500 0.000 0.000
O1 0.000 0.000 0.500

Record 20
CdRhW2 | GGA-PBE | optimized geometry

## Properties
Energy relative to the elements, eV/atom: 0.433
Calculated total energy, eV per atom: -8.110

a = 4.535 Å, b = 4.535 Å, c = 4.535 Å
α = 60.00°, β = 60.00°, γ = 60.00°
Sites, in units of the cell vectors:
Cd1 0.000 0.000 0.000
Rh1 0.750 0.750 0.750
W1 0.250 0.250 0.250
W2 0.500 0.500 0.500

Record 21
Mn3AlH | GGA-PBE | optimized geometry

## Properties
Calculated total energy, eV per atom: -6.745

a = 6.388 Å, b = 6.388 Å, c = 4.916 Å
α = 90.00°, β = 90.00°, γ = 144.24°
Sites, in units of the cell vectors:
Mn1 0.117 0.883 0.750
Mn2 0.300 0.700 0.531
Mn3 0.300 0.700 0.969
Mn4 0.700 0.300 0.031
Mn5 0.700 0.300 0.469
Mn6 0.883 0.117 0.250
Al1 0.094 0.906 0.250
Al2 0.906 0.094 0.750
H1 0.397 0.603 0.250
H2 0.603 0.397 0.750

Number 1: magnetic moment 0.000 μB/cell. Number 2: magnetic moment 0.000 μB/cell. Number 3: magnetic moment 0.000 μB/cell. Number 4: magnetic moment 0.000 μB/cell. Number 5: magnetic moment 0.000 μB/cell. Number 6: magnetic moment 0.000 μB/cell. Number 7: magnetic moment 0.000 μB/cell. Number 8: magnetic moment 0.000 μB/cell. Number 9: magnetic moment 0.763 μB/cell. Number 10: magnetic moment 0.064 μB/cell. Number 11: magnetic moment 1.081 μB/cell. Number 12: magnetic moment 2.051 μB/cell. Number 13: magnetic moment 1.567 μB/cell. Number 14: magnetic moment 0.002 μB/cell. Number 15: magnetic moment 0.000 μB/cell. Number 16: magnetic moment 0.000 μB/cell. Number 17: magnetic moment 10.900 μB/cell. Number 18: magnetic moment 0.000 μB/cell. Number 19: magnetic moment 4.180 μB/cell. Number 20: magnetic moment 0.000 μB/cell. Number 21: magnetic moment 2.764 μB/cell.